! NpSnBr6 PBE-GGA optimized geometry; values from VASP
&SYSTEM
  ibrav = 0, nat = 8, ntyp = 3
/
ATOMIC_SPECIES
Br 79.90 Br.upf
Np 237.00 Np.upf
Sn 118.71 Sn.upf
ATOMIC_POSITIONS crystal
Br 0.119 0.417 0.261
Br 0.745 0.745 0.264
Br 0.881 0.583 0.739
Np 0.500 0.500 0.500
Br 0.417 0.119 0.261
Br 0.255 0.255 0.736
Sn 0.000 0.000 0.000
Br 0.583 0.881 0.739
CELL_PARAMETERS angstrom
7.284 -0.154 -1.153
-3.956 6.118 -1.153
0.143 0.256 7.165
! Space-group type: C2/m (12)
! Formation energy without anion corrections: -1.050 eV per atom
! Raw total energy: -4.422 eV per atom
! ΔE to the lowest computed polymorph: 0.00 eV/f.u.


! NpSnBr5 PBE-GGA optimized geometry; values from VASP
&SYSTEM
  ibrav = 0, nat = 14, ntyp = 3
/
ATOMIC_SPECIES
Br 79.90 Br.upf
Np 237.00 Np.upf
Sn 118.71 Sn.upf
ATOMIC_POSITIONS crystal
Br 0.250 0.390 0.710
Br 0.750 0.929 0.681
Br 0.250 0.682 0.514
Br 0.250 0.351 0.136
Br 0.250 0.852 0.068
Br 0.750 0.610 0.290
Br 0.250 0.071 0.319
Br 0.750 0.318 0.486
Np 0.250 0.410 0.352
Br 0.750 0.148 0.932
Br 0.750 0.649 0.864
Sn 0.250 0.907 0.867
Np 0.750 0.590 0.648
Sn 0.750 0.093 0.133
CELL_PARAMETERS angstrom
-1.520 -1.234 3.893
7.299 -3.564 1.720
3.878 12.305 5.413
! Space-group type: P2_1/m (11)
! Formation energy without anion corrections: -1.058 eV per atom
! Raw total energy: -4.674 eV per atom


! NpTl2SnBr8 PBE-GGA optimized geometry; values from VASP
&SYSTEM
  ibrav = 0, nat = 12, ntyp = 4
/
ATOMIC_SPECIES
Br 79.90 Br.upf
Np 237.00 Np.upf
Tl 204.38 Tl.upf
Sn 118.71 Sn.upf
ATOMIC_POSITIONS crystal
Br 0.309 0.204 0.000
Br 0.126 0.773 0.232
Br 0.318 0.238 0.500
Br 0.873 0.227 0.232
Np 0.000 0.000 0.000
Br 0.127 0.773 0.768
Tl 0.500 0.500 0.743
Br 0.691 0.796 0.000
Br 0.874 0.227 0.768
Tl 0.500 0.500 0.257
Sn 0.000 0.000 0.500
Br 0.682 0.762 0.500
CELL_PARAMETERS angstrom
7.672 -0.101 -0.005
-0.138 7.062 -0.007
0.003 0.012 8.948
! Space-group type: P2/m (10)
! Formation energy without anion corrections: -0.987 eV per atom
! Raw total energy: -3.909 eV per atom


! SrNpBr6 PBE-GGA optimized geometry; values from VASP
&SYSTEM
  ibrav = 0, nat = 8, ntyp = 3
/
ATOMIC_SPECIES
Br 79.90 Br.upf
Np 237.00 Np.upf
Sr 87.62 Sr.upf
ATOMIC_POSITIONS crystal
Br 0.069 0.398 0.761
Np 0.000 0.000 0.000
Br 0.931 0.602 0.239
Br 0.228 0.931 0.239
Br 0.772 0.069 0.761
Br 0.398 0.772 0.761
Br 0.602 0.228 0.239
Sr 0.500 0.500 0.500
CELL_PARAMETERS angstrom
7.261 0.009 0.008
3.622 6.293 0.014
3.619 2.091 6.704
! Space-group type: R-3 (148)
! Formation energy without anion corrections: -1.544 eV per atom
! Raw total energy: -4.626 eV per atom
! ΔE to the lowest computed polymorph: 0.03 eV/f.u.


! Sr2NpBr8 PBE-GGA optimized geometry; values from VASP
&SYSTEM
  ibrav = 0, nat = 11, ntyp = 3
/
ATOMIC_SPECIES
Sr 87.62 Sr.upf
Br 79.90 Br.upf
Np 237.00 Np.upf
ATOMIC_POSITIONS crystal
Sr 0.457 0.862 0.862
Br 0.580 0.690 0.690
Np 0.000 0.000 0.000
Br 0.420 0.310 0.310
Br 0.271 0.772 0.277
Br 0.271 0.277 0.772
Sr 0.543 0.138 0.138
Br 0.934 0.171 0.171
Br 0.729 0.723 0.228
Br 0.729 0.228 0.723
Br 0.066 0.829 0.829
CELL_PARAMETERS angstrom
-6.416 4.186 -1.835
-4.239 -4.280 6.174
-1.114 1.495 8.422
! Space-group type: C2/m (12)
! Formation energy without anion corrections: -1.641 eV per atom
! Raw total energy: -4.340 eV per atom


! SrNpBr6 PBE-GGA optimized geometry; values from VASP
&SYSTEM
  ibrav = 0, nat = 8, ntyp = 3
/
ATOMIC_SPECIES
Br 79.90 Br.upf
Np 237.00 Np.upf
Sr 87.62 Sr.upf
ATOMIC_POSITIONS crystal
Br 0.745 0.745 0.272
Np 0.500 0.500 0.500
Br 0.428 0.128 0.267
Sr 0.000 0.000 0.000
Br 0.128 0.428 0.267
Br 0.255 0.255 0.728
Br 0.872 0.572 0.733
Br 0.572 0.872 0.733
CELL_PARAMETERS angstrom
-0.443 7.368 -0.924
-6.143 -4.191 0.166
1.423 -0.029 7.137
! Space-group type: C2/m (12)
! Formation energy without anion corrections: -1.548 eV per atom
! Raw total energy: -4.630 eV per atom
! ΔE to the lowest computed polymorph: 0.00 eV/f.u.


! TbNpBr2 PBE-GGA optimized geometry; values from VASP
&SYSTEM
  ibrav = 0, nat = 4, ntyp = 3
/
ATOMIC_SPECIES
Br 79.90 Br.upf
Tb 158.93 Tb.upf
Np 237.00 Np.upf
ATOMIC_POSITIONS crystal
Br 0.098 0.098 0.706
Tb 0.500 0.500 0.500
Np 0.000 0.000 0.000
Br 0.902 0.902 0.294
CELL_PARAMETERS angstrom
-1.947 2.581 -1.422
-3.222 -0.709 -1.262
-5.787 2.649 8.344
! Space-group type: R-3m (166)
! Formation energy without anion corrections: -0.652 eV per atom
! Raw total energy: -5.881 eV per atom


! Np3TeBr7 PBE-GGA optimized geometry; values from VASP
&SYSTEM
  ibrav = 0, nat = 11, ntyp = 3
/
ATOMIC_SPECIES
Np 237.00 Np.upf
Br 79.90 Br.upf
Te 127.60 Te.upf
ATOMIC_POSITIONS crystal
Np 0.784 0.502 0.498
Br 0.007 0.826 0.651
Br 0.565 0.176 0.824
Np 0.784 0.502 0.004
Np 0.784 0.996 0.498
Br 0.007 0.349 0.174
Te 0.527 0.667 0.333
Br 0.019 0.333 0.667
Br 0.007 0.826 0.174
Br 0.565 0.647 0.824
Br 0.565 0.176 0.353
CELL_PARAMETERS angstrom
-1.911 6.779 -0.070
1.231 0.259 -8.555
-7.744 -2.150 3.191
! Space-group type: P3m1 (156)
! Formation energy without anion corrections: -1.194 eV per atom
! Raw total energy: -6.074 eV per atom


! NpTe2Br5 PBE-GGA optimized geometry; values from VASP
&SYSTEM
  ibrav = 0, nat = 8, ntyp = 3
/
ATOMIC_SPECIES
Br 79.90 Br.upf
Te 127.60 Te.upf
Np 237.00 Np.upf
ATOMIC_POSITIONS crystal
Br 0.463 0.000 0.000
Te 0.721 0.500 0.500
Br 0.802 0.323 0.000
Br 0.125 0.677 0.000
Np 0.963 0.000 0.000
Te 0.221 0.500 0.500
Br 0.803 0.999 0.323
Br 0.125 0.001 0.677
CELL_PARAMETERS angstrom
4.956 0.014 2.548
2.462 8.255 1.269
-1.294 0.010 8.608
! Space-group type: Imm2 (44)
! Formation energy without anion corrections: -0.645 eV per atom
! Raw total energy: -4.093 eV per atom


! NpTe2Br4 PBE-GGA optimized geometry; values from VASP
&SYSTEM
  ibrav = 0, nat = 7, ntyp = 3
/
ATOMIC_SPECIES
Br 79.90 Br.upf
Np 237.00 Np.upf
Te 127.60 Te.upf
ATOMIC_POSITIONS crystal
Br 0.523 0.238 0.045
Np 0.000 0.000 0.000
Br 0.477 0.762 0.955
Te 0.275 0.392 0.549
Te 0.725 0.608 0.451
Br 0.847 0.090 0.693
Br 0.153 0.910 0.307
CELL_PARAMETERS angstrom
-4.072 0.968 0.337
-0.807 -0.635 -7.926
0.009 -9.126 0.161
! Space-group type: C2/m (12)
! Formation energy without anion corrections: -0.806 eV per atom
! Raw total energy: -4.509 eV per atom


! NpTeBr2 PBE-GGA optimized geometry; values from VASP
&SYSTEM
  ibrav = 0, nat = 8, ntyp = 3
/
ATOMIC_SPECIES
Br 79.90 Br.upf
Te 127.60 Te.upf
Np 237.00 Np.upf
ATOMIC_POSITIONS crystal
Br 0.661 0.322 0.429
Br 0.339 0.678 0.929
Te 0.083 0.166 0.750
Np 0.266 0.531 0.250
Np 0.734 0.469 0.750
Te 0.917 0.834 0.250
Br 0.339 0.678 0.571
Br 0.661 0.322 0.071
CELL_PARAMETERS angstrom
-1.014 3.029 2.425
-0.523 -6.205 4.214
8.822 0.953 2.499
! Space-group type: Cmcm (63)
! Formation energy without anion corrections: -0.906 eV per atom
! Raw total energy: -5.764 eV per atom


! NpTl2Te2Br2 PBE-GGA optimized geometry; values from VASP
&SYSTEM
  ibrav = 0, nat = 7, ntyp = 4
/
ATOMIC_SPECIES
Br 79.90 Br.upf
Te 127.60 Te.upf
Tl 204.38 Tl.upf
Np 237.00 Np.upf
ATOMIC_POSITIONS crystal
Br 0.829 0.829 0.657
Te 0.000 0.500 0.000
Te 0.500 0.000 0.000
Br 0.171 0.171 0.343
Tl 0.378 0.378 0.756
Tl 0.622 0.622 0.244
Np 0.000 0.000 0.000
CELL_PARAMETERS angstrom
5.992 0.000 0.000
0.000 5.992 0.000
-2.996 -2.996 8.130
! Space-group type: I4/mmm (139)
! Formation energy without anion corrections: -0.691 eV per atom
! Raw total energy: -4.592 eV per atom